Compound: BaTl2
Source: Alexandria
Functional: meta-GGA SCAN
Structure: PBEsol geometry

Computed properties:
Electronic total energy   -61.89 eV/atom
Magnetic moment   0.000 μB per atom
DFT formation energy   -1.4 eV per formula unit

a = 6.466 Å, b = 6.466 Å, c = 6.466 Å
α = 60.00°, β = 60.00°, γ = 60.00°
Element x y z (fractional)
Ba: 0.125 0.125 0.125
Ba: 0.875 0.875 0.875
Tl: 0.000 0.500 0.500
Tl: 0.500 0.000 0.500
Tl: 0.500 0.500 0.000
Tl: 0.500 0.500 0.500

Compound: Ba2Tl
Source: Alexandria
Functional: meta-GGA SCAN
Structure: PBEsol geometry

Computed properties:
Electronic total energy   -50.94 eV/atom
Magnetic moment   0.000 μB per atom
DFT formation energy   -1.4 eV per formula unit

a = 8.931 Å, b = 8.931 Å, c = 5.620 Å
α = 90.00°, β = 90.00°, γ = 120.00°
Element x y z (fractional)
Ba: 0.000 0.415 0.000
Ba: 0.000 0.744 0.500
Ba: 0.256 0.256 0.500
Ba: 0.415 0.000 0.000
Ba: 0.585 0.585 0.000
Ba: 0.744 0.000 0.500
Tl: 0.000 0.000 0.000
Tl: 0.333 0.667 0.500
Tl: 0.667 0.333 0.500